# 1
A plane-wave DFT calculation with PBE was carried out for crystalline Ta2SiBiRh at its relaxed geometry.

Summary:
final energy = -7.380 eV/atom
spin magnetization = 0.00 μB per formula unit

Unit cell a=4.999 b=4.370 c=4.999 alpha=90.00 beta=90.00 gamma=90.00
Atoms (fractional coordinates):
Si (0.000, 0.500, 0.000)
Rh (0.000, 0.000, 0.000)
Bi (0.500, 0.500, 0.500)
Ta (0.000, 0.000, 0.500)
Ta (0.500, 0.000, 0.000)


# 2
A plane-wave DFT calculation with PBE was carried out for crystalline TcRhO2 at its relaxed geometry.

Summary:
energy relative to the lowest polymorph listed for this composition = 0.00 eV/f.u.
spin magnetization = 0.00 μB per formula unit

Unit cell a=6.901 b=6.901 c=6.901 alpha=22.90 beta=22.90 gamma=22.90
Atoms (fractional coordinates):
Rh (0.000, 0.000, 0.000)
Tc (0.500, 0.500, 0.500)
O (0.900, 0.900, 0.900)
O (0.100, 0.100, 0.100)


# 3
A plane-wave DFT calculation with PBE was carried out for crystalline BaSr2Li2Hg2 at its relaxed geometry.

Summary:
formation energy from the elements = -190.4 kJ/mol of formula units
spin magnetization = 0.00 μB per formula unit

Unit cell a=4.819 b=4.819 c=12.806 alpha=79.15 beta=79.15 gamma=60.00
Atoms (fractional coordinates):
Ba (0.000, 0.000, 0.000)
Sr (0.121, 0.121, 0.637)
Sr (0.879, 0.879, 0.363)
Li (0.602, 0.602, 0.194)
Li (0.398, 0.398, 0.806)
Hg (0.733, 0.733, 0.800)
Hg (0.267, 0.267, 0.200)


# 4
A plane-wave DFT calculation with PBE was carried out for crystalline KLi2H at its relaxed geometry.

Summary:
energy relative to the lowest polymorph listed for this composition = 0.00 eV/f.u.
spin magnetization = 0.23 μB per formula unit

Unit cell a=3.396 b=3.396 c=9.462 alpha=79.66 beta=79.66 gamma=60.00
Atoms (fractional coordinates):
H (0.500, 0.500, 0.500)
K (0.000, 0.000, 0.000)
Li (0.126, 0.126, 0.621)
Li (0.874, 0.874, 0.379)


# 5
A plane-wave DFT calculation with PBE was carried out for crystalline B2C at its relaxed geometry.

Summary:
formation energy from the elements = 116.7 kJ/mol of formula units
energy relative to the lowest polymorph listed for this composition = 0.65 eV/f.u.
spin magnetization = 0.00 μB per formula unit

Unit cell a=6.277 b=6.277 c=5.115 alpha=86.01 beta=86.01 gamma=23.75
Atoms (fractional coordinates):
B (0.324, 0.324, 0.353)
B (0.277, 0.277, 0.031)
B (0.163, 0.163, 0.235)
B (0.131, 0.131, 0.894)
B (0.985, 0.985, 0.003)
B (0.958, 0.958, 0.639)
B (0.838, 0.838, 0.839)
B (0.686, 0.686, 0.665)
C (0.814, 0.814, 0.540)
C (0.621, 0.621, 0.396)
C (0.503, 0.503, 0.459)
C (0.448, 0.448, 0.196)


# 6
A plane-wave DFT calculation with PBE was carried out for crystalline AcLaNd2Tm5 at its relaxed geometry.

Summary:
formation energy from the elements = 206.1 kJ/mol of formula units
spin magnetization = 0.00 μB per formula unit

Unit cell a=8.784 b=8.784 c=10.043 alpha=115.93 beta=115.93 gamma=90.00
Atoms (fractional coordinates):
Ac (0.250, 0.250, 0.500)
Ac (0.750, 0.750, 0.500)
La (0.250, 0.750, 0.500)
La (0.750, 0.250, 0.500)
Nd (0.118, 0.382, 0.000)
Nd (0.618, 0.118, 0.000)
Nd (0.382, 0.882, 0.000)
Nd (0.882, 0.618, 0.000)
Tm (0.925, 0.425, 0.263)
Tm (0.662, 0.162, 0.737)
Tm (0.075, 0.575, 0.737)
Tm (0.162, 0.075, 0.737)
Tm (0.575, 0.662, 0.737)
Tm (0.838, 0.925, 0.263)
Tm (0.425, 0.338, 0.263)
Tm (0.338, 0.838, 0.263)
Tm (0.500, 0.500, 0.000)
Tm (0.000, 0.000, 0.000)


# 7
A plane-wave DFT calculation with PBE was carried out for crystalline CrReIr2 at its relaxed geometry.

Summary:
formation energy from the elements = -66.2 kJ/mol of formula units
energy relative to the lowest polymorph listed for this composition = 0.35 eV/f.u.
spin magnetization = 0.91 μB per formula unit

Unit cell a=2.712 b=3.834 c=5.397 alpha=90.00 beta=90.00 gamma=90.00
Each line ends with the local moment (μB).
Atoms (fractional coordinates):
Re (0.500, 0.500, 0.250)  0.00
Ir (0.000, 0.000, 0.996)  -0.07
Ir (0.000, 0.000, 0.504)  -0.07
Cr (0.500, 0.500, 0.750)  0.99


# 8
A plane-wave DFT calculation with PBE was carried out for crystalline Zr3P4Pd4 at its relaxed geometry.

Summary:
formation energy from the elements = -969.5 kJ/mol of formula units
spin magnetization = 0.00 μB per formula unit

Unit cell a=3.645 b=7.508 c=7.740 alpha=119.01 beta=103.62 gamma=90.00
Atoms (fractional coordinates):
Zr (0.117, 0.117, 0.234)
Zr (0.883, 0.883, 0.766)
Zr (0.000, 0.500, 0.000)
P (0.230, 0.730, 0.461)
P (0.770, 0.270, 0.539)
P (0.500, 0.792, 0.000)
P (0.500, 0.208, 0.000)
Pd (0.329, 0.143, 0.657)
Pd (0.671, 0.485, 0.343)
Pd (0.671, 0.857, 0.343)
Pd (0.329, 0.515, 0.657)


# 9
A plane-wave DFT calculation with PBE was carried out for crystalline Rb2NbCuBr at its relaxed geometry.

Summary:
final energy = -2.919 eV/atom
spin magnetization = 4.61 μB per formula unit

Unit cell a=6.653 b=5.204 c=6.653 alpha=90.00 beta=90.00 gamma=90.00
Each line ends with the local moment (μB).
Atoms (fractional coordinates):
Nb (0.000, 0.500, 0.000)  3.01
Cu (0.500, 0.500, 0.500)  0.02
Br (0.000, 0.000, 0.000)  0.02
Rb (0.000, 0.000, 0.500)  0.02
Rb (0.500, 0.000, 0.000)  0.02


# 10
A plane-wave DFT calculation with PBE was carried out for crystalline Cd5Fe at its relaxed geometry.

Summary:
formation energy from the elements = 245.5 kJ/mol of formula units
energy relative to the lowest polymorph listed for this composition = 1.41 eV/f.u.
spin magnetization = 2.93 μB per formula unit

Unit cell a=5.658 b=5.658 c=5.658 alpha=60.00 beta=60.00 gamma=60.00
Each line ends with the local moment (μB).
Atoms (fractional coordinates):
Cd (0.876, 0.375, 0.375)  -0.02
Cd (0.750, 0.750, 0.750)  0.00
Cd (0.375, 0.876, 0.375)  -0.02
Cd (0.375, 0.375, 0.375)  -0.02
Cd (0.375, 0.375, 0.876)  -0.02
Fe (0.000, 0.000, 0.000)  2.97


# 11
A plane-wave DFT calculation with PBE was carried out for crystalline Mg2FeAg at its relaxed geometry.

Summary:
formation energy from the elements = 42.9 kJ/mol of formula units
spin magnetization = 2.21 μB per formula unit

Unit cell a=4.669 b=4.669 c=3.117 alpha=89.96 beta=89.96 gamma=89.62
Each line ends with the local moment (μB).
Atoms (fractional coordinates):
Ag (0.500, 0.000, 0.500)  -0.02
Fe (0.000, 0.500, 0.500)  2.49
Mg (0.000, 0.000, 0.000)  -0.03
Mg (0.500, 0.500, 0.000)  -0.03


# 12
A plane-wave DFT calculation with PBE was carried out for crystalline CaAlVNi at its relaxed geometry.

Summary:
formation energy from the elements = 60.9 kJ/mol of formula units
energy relative to the lowest polymorph listed for this composition = 0.90 eV/f.u.
spin magnetization = 0.00 μB per formula unit

Unit cell a=3.099 b=3.666 c=6.906 alpha=90.00 beta=102.70 gamma=90.00
Atoms (fractional coordinates):
Ni (0.082, 0.000, 0.507)
Ca (0.857, 0.000, 0.075)
Al (0.204, 0.500, 0.759)
V (0.548, 0.500, 0.443)


# 13
A plane-wave DFT calculation with PBE was carried out for crystalline KMgPPb2 at its relaxed geometry.

Summary:
formation energy from the elements = 669.7 kJ/mol of formula units
spin magnetization = 0.00 μB per formula unit

Unit cell a=5.928 b=5.604 c=5.928 alpha=90.00 beta=90.00 gamma=90.00
Atoms (fractional coordinates):
Pb (0.000, 0.000, 0.500)
Pb (0.500, 0.000, 0.000)
P (0.500, 0.500, 0.500)
K (0.000, 0.000, 0.000)
Mg (0.000, 0.500, 0.000)


# 14
A plane-wave DFT calculation with PBE was carried out for crystalline CaNi4Pb at its relaxed geometry.

Summary:
formation energy from the elements = -59.1 kJ/mol of formula units
spin magnetization = 0.00 μB per formula unit

Unit cell a=5.048 b=5.048 c=5.048 alpha=60.00 beta=60.00 gamma=60.00
Atoms (fractional coordinates):
Ca (0.000, 0.000, 0.000)
Ni (0.126, 0.625, 0.625)
Ni (0.625, 0.625, 0.625)
Ni (0.625, 0.126, 0.625)
Ni (0.625, 0.625, 0.126)
Pb (0.250, 0.250, 0.250)


# 15
A plane-wave DFT calculation with PBE was carried out for crystalline LiYLuCu at its relaxed geometry.

Summary:
formation energy from the elements = -21.2 kJ/mol of formula units
spin magnetization = 0.00 μB per formula unit

Unit cell a=4.976 b=4.976 c=4.976 alpha=60.00 beta=60.00 gamma=60.00
Atoms (fractional coordinates):
Y (0.750, 0.750, 0.750)
Lu (0.250, 0.250, 0.250)
Cu (0.500, 0.500, 0.500)
Li (0.000, 0.000, 0.000)


# 16
A plane-wave DFT calculation with PBE was carried out for crystalline LaSm2Mg2In2 at its relaxed geometry.

Summary:
formation energy from the elements = -180.2 kJ/mol of formula units
spin magnetization = 0.00 μB per formula unit

Unit cell a=5.065 b=5.065 c=9.525 alpha=74.58 beta=74.58 gamma=60.00
Atoms (fractional coordinates):
La (0.000, 0.000, 0.000)
Sm (0.130, 0.130, 0.609)
Sm (0.870, 0.870, 0.391)
Mg (0.594, 0.594, 0.218)
Mg (0.406, 0.406, 0.782)
In (0.739, 0.739, 0.784)
In (0.261, 0.261, 0.216)


# 17
A plane-wave DFT calculation with PBE was carried out for crystalline CrRe2As at its relaxed geometry.

Summary:
formation energy from the elements = 135.6 kJ/mol of formula units
spin magnetization = 0.01 μB per formula unit

Unit cell a=3.002 b=4.500 c=4.235 alpha=90.00 beta=90.00 gamma=90.00
Atoms (fractional coordinates):
As (0.500, 0.000, 0.500)
Cr (0.000, 0.500, 0.500)
Re (0.000, 0.000, 0.000)
Re (0.500, 0.500, 0.000)


# 18
A plane-wave DFT calculation with PBE was carried out for crystalline LiPr at its relaxed geometry.

Summary:
formation energy from the elements = 28.3 kJ/mol of formula units
energy relative to the lowest polymorph listed for this composition = 0.19 eV/f.u.
spin magnetization = 0.43 μB per formula unit

Unit cell a=3.845 b=3.845 c=3.845 alpha=90.00 beta=90.00 gamma=90.00
Each line ends with the local moment (μB).
Atoms (fractional coordinates):
Pr (0.000, 0.000, 0.000)  0.16
Li (0.500, 0.500, 0.500)  0.01


# 19
A plane-wave DFT calculation with PBE was carried out for crystalline Ta2CuBr at its relaxed geometry.

Summary:
energy relative to the lowest polymorph listed for this composition = 1.03 eV/f.u.
spin magnetization = 0.00 μB per formula unit

Unit cell a=5.048 b=5.048 c=4.838 alpha=76.52 beta=76.52 gamma=34.43
Atoms (fractional coordinates):
Br (0.499, 0.499, 0.541)
Cu (0.251, 0.251, 0.192)
Ta (0.988, 0.988, 0.059)
Ta (0.762, 0.762, 0.708)


# 20
A plane-wave DFT calculation with PBE was carried out for crystalline In2GaGe2Rh5 at its relaxed geometry.

Summary:
formation energy from the elements = -321.9 kJ/mol of formula units
spin magnetization = 0.00 μB per formula unit

Unit cell a=3.466 b=9.675 c=9.675 alpha=90.00 beta=90.00 gamma=90.00
Atoms (fractional coordinates):
In (0.000, 0.670, 0.170)
In (0.000, 0.330, 0.830)
In (0.000, 0.170, 0.330)
In (0.000, 0.830, 0.670)
Ga (0.000, 0.000, 0.000)
Ga (0.000, 0.500, 0.500)
Ge (0.000, 0.131, 0.631)
Ge (0.000, 0.869, 0.369)
Ge (0.000, 0.631, 0.869)
Ge (0.000, 0.369, 0.131)
Rh (0.500, 0.194, 0.084)
Rh (0.500, 0.806, 0.916)
Rh (0.500, 0.084, 0.806)
Rh (0.500, 0.694, 0.416)
Rh (0.500, 0.916, 0.194)
Rh (0.500, 0.306, 0.584)
Rh (0.500, 0.584, 0.694)
Rh (0.500, 0.416, 0.306)
Rh (0.500, 0.500, 0.000)
Rh (0.500, 0.000, 0.500)


# 21
A plane-wave DFT calculation with PBE was carried out for crystalline TiCdW at its relaxed geometry.

Summary:
formation energy from the elements = -3.6 kJ/mol of formula units
energy relative to the lowest polymorph listed for this composition = 0.00 eV/f.u.
spin magnetization = 0.00 μB per formula unit

Unit cell a=3.166 b=3.166 c=10.870 alpha=90.00 beta=90.00 gamma=90.00
Atoms (fractional coordinates):
Cd (0.000, 0.500, 0.597)
Cd (0.500, 0.000, 0.403)
Ti (0.000, 0.500, 0.217)
Ti (0.500, 0.000, 0.783)
W (0.500, 0.000, 0.071)
W (0.000, 0.500, 0.929)


# 22
A plane-wave DFT calculation with PBE was carried out for crystalline K2Rb4CdHg at its relaxed geometry.

Summary:
formation energy from the elements = -5.7 kJ/mol of formula units
spin magnetization = 0.00 μB per formula unit

Unit cell a=4.759 b=12.716 c=8.877 alpha=80.19 beta=90.00 gamma=90.00
Atoms (fractional coordinates):
K (0.000, 0.000, 0.000)
K (0.500, 0.000, 0.500)
Rb (0.000, 0.690, 0.776)
Rb (0.000, 0.310, 0.224)
Rb (0.500, 0.692, 0.268)
Rb (0.500, 0.308, 0.732)
Cd (0.000, 0.500, 0.500)
Hg (0.500, 0.500, 0.000)


# 23
A plane-wave DFT calculation with PBE was carried out for crystalline NaLa3Os at its relaxed geometry.

Summary:
formation energy from the elements = -22.7 kJ/mol of formula units
energy relative to the lowest polymorph listed for this composition = 0.22 eV/f.u.
spin magnetization = 0.00 μB per formula unit

Unit cell a=6.356 b=16.251 c=6.900 alpha=90.00 beta=90.00 gamma=90.00
Atoms (fractional coordinates):
Na (0.000, 0.000, 0.500)
Na (0.500, 0.500, 0.000)
Na (0.500, 0.000, 0.000)
Na (0.000, 0.500, 0.500)
Os (0.751, 0.250, 0.250)
Os (0.749, 0.750, 0.750)
Os (0.249, 0.750, 0.750)
Os (0.251, 0.250, 0.250)
La (0.999, 0.874, 0.930)
La (0.501, 0.374, 0.430)
La (0.501, 0.126, 0.430)
La (0.001, 0.374, 0.070)
La (0.001, 0.126, 0.070)
La (0.499, 0.626, 0.570)
La (0.499, 0.874, 0.570)
La (0.999, 0.626, 0.930)
La (0.501, 0.250, 0.911)
La (0.999, 0.750, 0.411)
La (0.499, 0.750, 0.089)
La (0.001, 0.250, 0.589)


# 24
A plane-wave DFT calculation with PBE was carried out for crystalline NaMgCd2Au4 at its relaxed geometry.

Summary:
formation energy from the elements = -241.3 kJ/mol of formula units
spin magnetization = 0.00 μB per formula unit

Unit cell a=4.800 b=4.800 c=8.244 alpha=73.07 beta=73.07 gamma=60.00
Atoms (fractional coordinates):
Na (0.000, 0.000, 0.000)
Mg (0.500, 0.500, 0.500)
Cd (0.746, 0.746, 0.763)
Cd (0.254, 0.254, 0.237)
Au (0.380, 0.380, 0.859)
Au (0.870, 0.870, 0.391)
Au (0.130, 0.130, 0.609)
Au (0.620, 0.620, 0.141)


# 25
A plane-wave DFT calculation with PBE was carried out for crystalline NpTl2SnCl8 at its relaxed geometry.

Summary:
final energy = -4.313 eV/atom
spin magnetization = 3.00 μB per formula unit

Unit cell a=7.278 b=6.840 c=8.673 alpha=90.00 beta=90.00 gamma=92.18
Each line ends with the local moment (μB).
Atoms (fractional coordinates):
Np (0.000, 0.000, 0.000)  3.16
Tl (0.500, 0.500, 0.744)  0.00
Tl (0.500, 0.500, 0.256)  0.00
Sn (0.000, 0.000, 0.500)  0.00
Cl (0.128, 0.784, 0.228)  -0.03
Cl (0.696, 0.795, 0.000)  -0.04
Cl (0.872, 0.216, 0.228)  -0.03
Cl (0.872, 0.216, 0.772)  -0.03
Cl (0.304, 0.205, 0.000)  -0.04
Cl (0.128, 0.784, 0.772)  -0.03
Cl (0.690, 0.754, 0.500)  -0.01
Cl (0.310, 0.246, 0.500)  -0.01


Number 1: V 21.8 Å³ per atom. Number 2: V 10.9 Å³ per atom. Number 3: V 35.9 Å³ per atom. Number 4: V 23.1 Å³ per atom. Number 5: V 6.7 Å³ per atom. Number 6: V 33.8 Å³ per atom. Number 7: V 14.0 Å³ per atom. Number 8: V 16.2 Å³ per atom. Number 9: V 46.1 Å³ per atom. Number 10: V 21.3 Å³ per atom. Number 11: V 17.0 Å³ per atom. Number 12: V 19.1 Å³ per atom. Number 13: V 39.4 Å³ per atom. Number 14: V 15.2 Å³ per atom. Number 15: V 21.8 Å³ per atom. Number 16: V 28.8 Å³ per atom. Number 17: V 14.3 Å³ per atom. Number 18: V 28.4 Å³ per atom. Number 19: V 16.9 Å³ per atom. Number 20: V 16.2 Å³ per atom. Number 21: V 18.2 Å³ per atom. Number 22: V 66.2 Å³ per atom. Number 23: V 35.6 Å³ per atom. Number 24: V 19.4 Å³ per atom. Number 25: V 36.0 Å³ per atom.